{"formula": "Tc3AsRh", "functional": "GGA-PBE", "state": "relaxed", "magmom_total_mub_per_fu": 1.55, "volume_a3_per_atom": 20.31, "e_tot_ev_per_atom": -6.781, "delta_e_f_ev_per_atom": 1.839, "lattice": [[-2.361, 3.861, -1.132], [0.847, -0.806, -4.516], [-3.934, -2.491, -0.293]], "species": ["As", "Rh", "Tc", "Tc", "Tc"], "fractional_positions": [[0.500, 0.500, 0.500], [0.000, 0.000, 0.000], [0.000, 0.000, 0.500], [0.000, 0.500, 0.000], [0.500, 0.000, 0.000]]}